This record from Alexandria via LeMat-Bulk describes a relaxed BaO crystal. The functional is GGA-PBE.

Calculated values
ΔE_f (raw), eV per atom: -2.341
Electronic total energy, eV/cell: -92.51

a b c (Å): 8.2276 8.2276 8.2276
angles (deg): 90.00 90.00 90.00
Closest atoms and distances in Å follow each position.
Sites, in units of the cell vectors:
O: 0.8466 0.8466 0.1534  4 Ba 2.61-2.62
O: 0.6534 0.3466 0.3466  4 Ba 2.61-2.62
O: 0.3466 0.3466 0.6534  4 Ba 2.61-2.62
O: 0.1534 0.1534 0.1534  4 Ba 2.61-2.62
O: 0.8466 0.1534 0.8466  4 Ba 2.61-2.62
O: 0.3466 0.6534 0.3466  4 Ba 2.61-2.62
O: 0.6534 0.6534 0.6534  4 Ba 2.61-2.62
O: 0.1534 0.8466 0.8466  4 Ba 2.61-2.62
Ba: 0.3369 0.3369 0.3369  4 O 2.61-2.62
Ba: 0.8369 0.8369 0.8369  4 O 2.61-2.62
Ba: 0.1631 0.8369 0.1631  4 O 2.61-2.62
Ba: 0.8369 0.1631 0.1631  4 O 2.61-2.62
Ba: 0.6631 0.3369 0.6631  4 O 2.61-2.62
Ba: 0.3369 0.6631 0.6631  4 O 2.61-2.62
Ba: 0.1631 0.1631 0.8369  4 O 2.61-2.62
Ba: 0.6631 0.6631 0.3369  4 O 2.61-2.62

=====

This record from Alexandria via LeMat-Bulk describes a relaxed Nd5Y2Ho4 crystal. The functional is GGA-PBE.

Calculated values
ΔE to the lowest computed polymorph, kJ per mole of atoms: 2.10
E_form, kJ per mole of atoms: 16
Electronic total energy, eV/cell: -53.27

a b c (Å): 7.0973 6.9240 10.2945
angles (deg): 59.79 69.84 59.17
Closest atoms and distances in Å follow each position.
Sites, in units of the cell vectors:
Y: 0.8308 0.1806 0.1579  6 Nd 3.35-3.64, 4 Ho 3.37-3.58
Y: 0.1692 0.8194 0.8421  6 Nd 3.35-3.64, 4 Ho 3.37-3.58
Ho: 0.6530 0.1896 0.5043  2 Ho 3.33-3.66, 1 Y 3.37, 2 Nd 3.69
Ho: 0.7086 0.7340 0.8487  1 Ho 3.33, 6 Nd 3.41-3.55, 3 Y 3.43-3.58
Ho: 0.2914 0.2660 0.1513  1 Ho 3.33, 6 Nd 3.41-3.55, 3 Y 3.43-3.58
Ho: 0.3470 0.8104 0.4957  2 Ho 3.33-3.66, 1 Y 3.37, 2 Nd 3.69
Nd: 0.6667 0.2875 0.8207  2 Nd 3.13-3.46, 1 Y 3.35, 1 Ho 3.41
Nd: 0.3333 0.7125 0.1793  2 Nd 3.13-3.46, 1 Y 3.35, 1 Ho 3.41
Nd: 0.0000 0.5000 0.5000  4 Nd 3.46
Nd: 0.2251 0.2875 0.8207  2 Nd 3.13-3.46, 1 Y 3.35, 1 Ho 3.41
Nd: 0.7749 0.7125 0.1793  2 Nd 3.13-3.46, 1 Y 3.35, 1 Ho 3.41